VASP calculation (SCAN) on a crystal of NaMgF3 relaxed with PBEsol. Values from VASP.

```
&SYSTEM
  ibrav = 0, nat = 10, ntyp = 3
/
ATOMIC_SPECIES
Na 22.99 Na.upf
Mg 24.30 Mg.upf
F 19.00 F.upf
CELL_PARAMETERS angstrom
1.5012 -5.0245 0.0000
1.5012 5.0245 0.0000
0.0000 0.0000 7.3367
ATOMIC_POSITIONS angstrom
Na 1.5012 2.5761 5.5025
Na 1.5012 -2.5761 1.8342
Mg 1.5012 0.0000 0.0000
Mg 1.5012 0.0000 3.6683
F 1.5012 3.7512 0.4267
F 1.5012 3.7512 3.2416
F 1.5012 0.7295 1.8342
F 1.5012 -0.7295 5.5025
F 1.5012 -3.7512 4.0951
F 1.5012 -3.7512 6.9099
```

Properties
Volume = 11.1 Å³ per atom
Uncorrected energy = -7.418 eV/atom
Uncorrected formation energy = -333.5 kJ/mol of atoms
Space-group type = Cmcm